The following is a PBE-GGA calculation of an optimized crystal structure of BeIn2BI, from Alexandria via LeMat-Bulk.

Cell lengths 5.5597, 5.5597, 3.7169 Å; angles 90.00, 90.00, 90.00 degrees
Closest atoms and distances in Å follow each position.
Fractional positions:
Be 0.0000 0.0000 0.0000  2 B 1.86
In 0.0000 0.5000 0.0000  2 Be 2.78
In 0.5000 0.0000 0.0000  2 Be 2.78
B 0.0000 0.0000 0.5000  2 Be 1.86
I 0.5000 0.5000 0.5000  8 In 3.34, 2 I 3.72

Total energy   -2.9804 eV per atom
Magnetization   0.000 μB/atom
Formation energy from raw total energies   0.5057 eV per atom
DOS(E_F)   1.86 states/eV/f.u.